Entry from the Alexandria database: a geometry-optimized NdSmLu2 structure (PBE-GGA). Values from VASP.

final energy = -4.60 eV per atom
excess energy over the best structure of this formula in the dataset = 4 meV/atom
magnetization = 0.0 μB/cell
volume = 127 Å³ per cell
energy of formation from the pure elements = 0.028 eV per atom
symmetry = P4/mmm

The structure in Quantum ESPRESSO input format:
```
&SYSTEM
  ibrav = 0, nat = 4, ntyp = 3
/
ATOMIC_SPECIES
Sm 150.36 Sm.upf
Lu 174.97 Lu.upf
Nd 144.24 Nd.upf
CELL_PARAMETERS angstrom
-2.857 1.692 1.357
0.383 -1.816 3.070
5.880 7.133 3.486
ATOMIC_POSITIONS crystal
Sm 0.500 0.500 0.000
Lu 0.000 0.000 0.248
Nd 0.500 0.500 0.500
Lu 0.000 0.000 0.752
```